Compound: CsAcW2O7
Source: Alexandria
Functional: GGA+U
Structure: optimized geometry

Computed properties:
M_tot in μB per formula unit: 2.0
Total DFT energy (no corrections) in eV/atom: -7.334
Calculated density in g/cm³: 7.61
V in A^3/atom: 16.7

Cell lengths 4.0485, 4.0485, 11.1782 Å; angles 90.00, 90.00, 90.00 degrees
Last column: nearest neighbours and their distance in Å.
Atoms (fractional coordinates):
Cs: 0.0000 0.0000 0.5000  8 O 3.29
Ac: 0.0000 0.0000 0.0000  12 O 2.71-2.86
W: 0.5000 0.5000 0.1950  1 O 1.79
W: 0.5000 0.5000 0.8050  1 O 1.79
O: 0.5000 0.5000 0.6446  1 W 1.79
O: 0.0000 0.5000 0.1610  2 W 2.06
O: 0.5000 0.0000 0.1610  2 W 2.06
O: 0.0000 0.5000 0.8390  2 W 2.06
O: 0.5000 0.0000 0.8390  2 W 2.06
O: 0.5000 0.5000 0.3554  1 W 1.79
O: 0.5000 0.5000 0.0000  2 W 2.18